No. 1
# Mg2AgHg6

A geometry-optimized Mg2AgHg6 structure (GGA-PBE, Alexandria).

Computed properties:
- VASP energy: -0.93 eV/atom
- Energy of formation from the pure elements: -55 meV/atom
- Fermi-level density of states: 0.33 states/eV/atom

a b c (Å): 12.508 4.726 9.250
angles (deg): 90.00 132.22 90.00
Space group C2/m (No. 12)
Asymmetric unit:
Mg 0.154 0.000 0.307 [4 per cell]
Ag 0.000 0.500 0.000 [2 per cell]
Hg 0.022 0.500 0.345 [4 per cell]
Hg 0.165 0.000 0.997 [4 per cell]
Hg 0.177 0.000 0.657 [4 per cell]

No. 2
# CdFe2Tc

A geometry-optimized CdFe2Tc structure (GGA-PBE, Alexandria).

Computed properties:
- VASP energy: -6.75 eV/atom
- Energy of formation from the pure elements: 299 meV/atom
- Fermi-level density of states: 0.75 states/eV/atom

a b c (Å): 3.160 4.282 8.654
angles (deg): 90.00 90.00 90.00
Space group Cmmm (No. 65)
Asymmetric unit:
Cd 0.000 0.000 0.000 [2 per cell]
Fe 0.000 0.500 0.268 [4 per cell]
Tc 0.000 0.000 0.500 [2 per cell]

No. 3
# Nb2HgB

A geometry-optimized Nb2HgB structure (GGA-PBE, Alexandria).

Computed properties:
- VASP energy: -7.03 eV/atom
- E above lowest polymorph: 0.07 eV per formula unit
- Energy of formation from the pure elements: -248 meV/atom
- Fermi-level density of states: 0.69 states/eV/atom

a b c (Å): 3.2260 3.2260 7.3838
angles (deg): 90.00 90.00 120.00
Space group P-3m1 (No. 164)
Asymmetric unit:
Nb 0.3333 0.6667 0.1695 [2 per cell]
Hg 0.0000 0.0000 0.5000 [1 per cell]
B 0.0000 0.0000 0.0000 [1 per cell]

No. 4
# KCeTcO6

A geometry-optimized KCeTcO6 structure (GGA-PBE, Alexandria).

Computed properties:
- VASP energy: -7.21 eV/atom
- Formation energy (no corrections): -1.971 eV per atom

a b c (Å): 7.438 7.442 9.962
angles (deg): 90.00 90.00 90.00
Space group Imma (No. 74)
Asymmetric unit:
K 0.000 0.250 0.092 [4 per cell]
Ce 0.000 0.000 0.500 [4 per cell]
Tc 0.250 0.250 0.750 [4 per cell]
O 0.000 0.250 0.397 [4 per cell]
O 0.000 0.250 0.684 [4 per cell]
O 0.217 0.073 0.878 [16 per cell]

No. 5
# La6PrTm2

A geometry-optimized La6PrTm2 structure (GGA-PBE, Alexandria).

Computed properties:
- VASP energy: -4.70 eV/atom
- Energy of formation from the pure elements: 114 meV/atom
- Fermi-level density of states: 1.54 states/eV/atom

a b c (Å): 9.512 17.956 3.705
angles (deg): 90.00 90.00 90.00
Space group Cmmm (No. 65)
Asymmetric unit:
La 0.173 0.000 0.000 [4 per cell]
La 0.173 0.166 0.500 [8 per cell]
Pr 0.000 0.500 0.500 [2 per cell]
Tm 0.000 0.322 0.000 [4 per cell]

No. 6
# Ca4SeBr

A geometry-optimized Ca4SeBr structure (GGA-PBE, Alexandria).

Computed properties:
- VASP energy: -2.39 eV/atom
- Formation energy (no corrections): -0.198 eV per atom
- Fermi-level density of states: 0.81 states/eV/atom

a b c (Å): 9.543 9.543 9.543
angles (deg): 90.00 90.00 90.00
Space group F-43m (No. 216)
Asymmetric unit:
Ca 0.124 0.124 0.124 [16 per cell]
Se 0.250 0.250 0.750 [4 per cell]
Br 0.000 0.000 0.500 [4 per cell]

> Which value of VASP energy does entry 1 give?

-0.93 eV/atom